AcNdDyZn after structural relaxation. Source: the Alexandria database, functional PBE.

Unit cell a=5.587 b=5.587 c=5.587 alpha=60.00 beta=60.00 gamma=60.00
Element x y z (fractional)
Ac 0.250 0.250 0.250
Nd 0.000 0.000 0.000
Zn 0.750 0.750 0.750
Dy 0.500 0.500 0.500

## Properties
Energy relative to the lowest polymorph listed for this composition in meV per atom: 289
Crystal system: cubic

AcNdDyZn after structural relaxation. Source: the Alexandria database, functional PBE.

Unit cell a=3.716 b=3.716 c=9.001 alpha=90.00 beta=90.00 gamma=90.00
Element x y z (fractional)
Ac 0.000 0.000 0.063
Nd 0.500 0.500 0.375
Dy 0.500 0.500 0.764
Zn 0.000 0.000 0.583

## Properties
Energy relative to the lowest polymorph listed for this composition in meV per atom: 0
Crystal system: tetragonal

AcDyNi4 after structural relaxation. Source: the Alexandria database, functional PBE.

Unit cell a=5.187 b=5.187 c=8.692 alpha=90.00 beta=90.00 gamma=120.00
Element x y z (fractional)
Ac 0.667 0.333 0.918
Ac 0.333 0.667 0.082
Dy 0.333 0.667 0.450
Dy 0.667 0.333 0.550
Ni 0.000 0.000 0.500
Ni 0.000 0.000 0.000
Ni 0.836 0.164 0.266
Ni 0.836 0.672 0.266
Ni 0.328 0.164 0.266
Ni 0.164 0.836 0.734
Ni 0.164 0.328 0.734
Ni 0.672 0.836 0.734

## Properties
Energy relative to the lowest polymorph listed for this composition in meV per atom: 13
Crystal system: trigonal

AcDyNi2 after structural relaxation. Source: the Alexandria database, functional PBE.

Unit cell a=4.588 b=4.588 c=5.762 alpha=66.54 beta=66.54 gamma=60.00
Element x y z (fractional)
Ni 0.787 0.787 0.639
Ni 0.213 0.213 0.361
Ac 0.000 0.000 0.000
Dy 0.500 0.500 0.500

## Properties
Energy relative to the lowest polymorph listed for this composition in meV per atom: 0
Crystal system: trigonal

AcDyNi4 after structural relaxation. Source: the Alexandria database, functional PBE.

Unit cell a=5.206 b=5.206 c=5.206 alpha=60.00 beta=60.00 gamma=60.00
Element x y z (fractional)
Ni 0.626 0.626 0.122
Ni 0.626 0.122 0.626
Ni 0.626 0.626 0.626
Ni 0.122 0.626 0.626
Ac 0.250 0.250 0.250
Dy 0.000 0.000 0.000

## Properties
Energy relative to the lowest polymorph listed for this composition in meV per atom: 0
Crystal system: cubic

AcDyNi2 after structural relaxation. Source: the Alexandria database, functional PBE.

Unit cell a=3.545 b=3.545 c=6.981 alpha=90.00 beta=90.00 gamma=90.00
Element x y z (fractional)
Ni 0.000 0.000 0.790
Ni 0.000 0.000 0.210
Ac 0.500 0.500 0.500
Dy 0.500 0.500 0.000

## Properties
Energy relative to the lowest polymorph listed for this composition in meV per atom: 13
Crystal system: tetragonal

Ac2Dy2Ni15 after structural relaxation. Source: the Alexandria database, functional PBE.

Unit cell a=6.605 b=6.605 c=6.605 alpha=82.29 beta=82.29 gamma=82.29
Element x y z (fractional)
Ac 0.357 0.357 0.357
Ac 0.643 0.643 0.643
Dy 0.110 0.110 0.110
Dy 0.890 0.890 0.890
Ni 0.500 0.000 0.000
Ni 0.000 0.000 0.500
Ni 0.000 0.500 0.000
Ni 0.000 0.702 0.298
Ni 0.702 0.298 0.000
Ni 0.298 0.000 0.702
Ni 0.298 0.702 0.000
Ni 0.702 0.000 0.298
Ni 0.000 0.298 0.702
Ni 0.162 0.656 0.656
Ni 0.656 0.656 0.162
Ni 0.656 0.162 0.656
Ni 0.838 0.344 0.344
Ni 0.344 0.344 0.838
Ni 0.344 0.838 0.344

## Properties
Crystal system: trigonal

AcDyNi after structural relaxation. Source: the Alexandria database, functional PBE.

Unit cell a=4.990 b=4.990 c=4.990 alpha=60.00 beta=60.00 gamma=60.00
Element x y z (fractional)
Ni 0.250 0.250 0.250
Ac 0.000 0.000 0.000
Dy 0.500 0.500 0.500

## Properties
Energy relative to the lowest polymorph listed for this composition in meV per atom: 103
Crystal system: cubic

Ac2DyNi9 after structural relaxation. Source: the Alexandria database, functional PBE.

Unit cell a=5.056 b=5.056 c=9.047 alpha=73.78 beta=73.78 gamma=60.00
Element x y z (fractional)
Ac 0.865 0.865 0.405
Ac 0.135 0.135 0.595
Dy 0.000 0.000 0.000
Ni 0.667 0.667 0.998
Ni 0.333 0.333 0.002
Ni 0.500 0.500 0.500
Ni 0.424 0.424 0.229
Ni 0.922 0.424 0.229
Ni 0.424 0.922 0.229
Ni 0.576 0.576 0.771
Ni 0.576 0.078 0.771
Ni 0.078 0.576 0.771

## Properties
Crystal system: trigonal

Ac2DyNi after structural relaxation. Source: the Alexandria database, functional PBE.

Unit cell a=3.912 b=3.912 c=11.011 alpha=79.77 beta=79.77 gamma=60.00
Element x y z (fractional)
Ni 0.500 0.500 0.500
Ac 0.111 0.111 0.667
Ac 0.889 0.889 0.333
Dy 0.000 0.000 0.000

## Properties
Energy relative to the lowest polymorph listed for this composition in meV per atom: 183
Crystal system: trigonal

AcDyNi after structural relaxation. Source: the Alexandria database, functional PBE.

Unit cell a=8.336 b=8.336 c=8.336 alpha=153.99 beta=132.40 gamma=55.04
Element x y z (fractional)
Ac 0.366 0.866 0.500
Ac 0.634 0.134 0.500
Dy 0.113 0.613 0.500
Dy 0.887 0.387 0.500
Ni 0.181 0.000 0.181
Ni 0.819 0.000 0.819

## Properties
Energy relative to the lowest polymorph listed for this composition in meV per atom: 93
Crystal system: orthorhombic

AcDyNi after structural relaxation. Source: the Alexandria database, functional PBE.

Unit cell a=6.422 b=4.092 c=4.092 alpha=120.00 beta=90.00 gamma=90.00
Element x y z (fractional)
Ni 0.981 0.000 0.000
Ac 0.251 0.333 0.667
Dy 0.768 0.667 0.333

## Properties
Energy relative to the lowest polymorph listed for this composition in meV per atom: 0
Crystal system: trigonal

no.,energy of formation from the pure elements (eV/atom),V (A^3/atom)
1,0.164,30.84
2,-0.125,31.08
3,-0.270,16.88
4,-0.243,23.32
5,-0.282,16.63
6,-0.231,21.93
7,-0.173,14.79
8,-0.024,29.29
9,-0.246,15.80
10,0.188,35.71
11,-0.034,31.10
12,-0.127,31.04